Model P:
First-principles (PBE-GGA) data for a relaxed KNa2Os crystal, as listed in Alexandria via LeMat-Bulk.

Properties
**ρ**: 4.23 g/cm³
**D(E_F)**: 0.92 states/eV/atom
**SG**: Fm-3m, No. 225

abc: 5.3451 5.3451 5.3451
angles: 60.00 60.00 60.00
With the nearest neighbours (Å) after each atom.
Positions (direct):
Na 0.2500 0.2500 0.2500  4 K 3.27, 4 Os 3.27
Na 0.7500 0.7500 0.7500  4 K 3.27, 4 Os 3.27
K 0.0000 0.0000 0.0000  8 Na 3.27
Os 0.5000 0.5000 0.5000  8 Na 3.27

=====

Model Q:
First-principles (PBE-GGA) data for a relaxed KNa2Os crystal, as listed in Alexandria via LeMat-Bulk.

Properties
**ρ**: 3.72 g/cm³
**D(E_F)**: 1.26 states/eV/atom
**SG**: I-42d, No. 122

abc: 4.7356 4.7356 11.4571
angles: 78.07 78.07 90.00
With the nearest neighbours (Å) after each atom.
Positions (direct):
Na 0.6710 0.1250 0.2500  2 Na 3.06, 2 Os 3.14, 2 K 3.30
Na 0.0790 0.6250 0.2500  2 Na 3.06, 2 Os 3.14, 2 K 3.30
Na 0.3750 0.3290 0.7500  2 Na 3.06, 2 Os 3.14, 2 K 3.30
Na 0.8750 0.9210 0.7500  2 Na 3.06, 2 Os 3.14, 2 K 3.30
K 0.5000 0.5000 0.0000  4 Na 3.30, 4 Os 3.35
K 0.2500 0.7500 0.5000  4 Na 3.30, 4 Os 3.35
Os 0.0000 0.0000 0.0000  4 Na 3.14, 4 K 3.35
Os 0.7500 0.2500 0.5000  4 Na 3.14, 4 K 3.35

=====

Calculated relative energies: model P 0.000; model Q 0.167, given in eV/atom